## Sm4Er2Sc (PBE-GGA)

Data for a geometry-optimized Sm4Er2Sc structure. Values from VASP.

Cell and atoms, written as Quantum ESPRESSO input:
```
&SYSTEM
  ibrav = 0, nat = 14, ntyp = 3
/
ATOMIC_SPECIES
Sm 150.36 Sm.upf
Er 167.26 Er.upf
Sc 44.96 Sc.upf
ATOMIC_POSITIONS crystal
Sm 0.036 0.964 0.750
Sm 0.249 0.751 0.250
Sm 0.322 0.678 0.750
Sm 0.463 0.537 0.750
Sm 0.537 0.463 0.250
Sm 0.678 0.322 0.250
Sm 0.751 0.249 0.750
Sm 0.964 0.036 0.250
Er 0.177 0.823 0.750
Er 0.393 0.607 0.250
Er 0.607 0.393 0.750
Er 0.823 0.177 0.250
Sc 0.107 0.893 0.250
Sc 0.893 0.107 0.750
CELL_PARAMETERS angstrom
3.062 -12.383 0.000
3.062 12.383 0.000
-2.019 0.000 5.791
```

Summary:
ΔH_f (0 K): 0.03 eV per atom
offset from the most stable computed form: 0 meV/atom
magnetization: 0.000 μB per atom